HfThZr2 (GGA-PBE, relaxed); crystal system = trigonal; energy relative to the lowest polymorph listed for this composition = 0.127 eV/f.u.; energy of formation = 0.1063 eV per atom
1.0
3.2756 0.0006 0.0007
1.6383 2.8365 0.0007
1.6404 0.9471 10.8193
Zr Th Hf
2 1 1
Direct
0.0782 0.0782 0.7663
0.2551 0.2551 0.2339
0.4999 0.4999 0.5003
0.6669 0.6669 0.9994

***

K3Ag2Br5Cl2 (GGA-PBE, relaxed); crystal system = tetragonal; formation energy (no corrections) = -1.03 eV/atom
1.0
-0.7873 -2.3793 4.8177
-2.9495 -3.8786 -2.3975
12.6679 -3.9986 -2.9653
Br Cl Ag K
5 2 2 3
Direct
0.5968 0.0968 0.1936
0.4032 0.9032 0.8064
0.5000 0.5000 0.0000
0.0968 0.5968 0.1936
0.9032 0.4032 0.8064
0.7005 0.7005 0.4010
0.2995 0.2995 0.5990
0.3970 0.3970 0.7939
0.6030 0.6030 0.2061
0.0000 0.0000 0.0000
0.1821 0.1821 0.3642
0.8179 0.8179 0.6358

***

LiBeP2 (GGA-PBE, relaxed); crystal system = orthorhombic; energy of formation = 0.0524 eV per atom
1.0
-1.4262 1.9997 1.2937
1.0505 -1.6157 1.9981
5.8975 4.0785 0.1975
Li P Be
1 2 1
Direct
0.5000 0.5000 0.7500
0.0000 0.0000 0.0294
0.0000 0.0000 0.4706
0.5000 0.5000 0.2500

***

The records above give, respectively, density of states at the Fermi level values of 6.37, 3.56, 1.55 states/eV per cell.
The records above give, respectively, total energy values of -8.51, -2.79, -4.06 eV per atom.